[1]
## Li2AlCl (PBE)

Data for Li2AlCl after structural relaxation.

Cell lengths 3.2197, 3.1045, 8.1796 Å; angles 90.00, 90.00, 90.00 degrees
Last column: nearest neighbours and their distance in Å.
Fractional positions:
Al (0.0000, 0.0000, 0.4714)  5 Li 2.95-3.03, 4 Al 3.10-3.22
Li (0.0000, 0.0000, 0.8414)  4 Cl 2.41
Li (0.5000, 0.5000, 0.2370)  1 Cl 2.35
Cl (0.5000, 0.5000, 0.9502)  5 Li 2.35-2.41

Calculated values
Offset from the most stable computed form = 82.4 meV per atom
Calculated volume = 20.4 A^3/atom
Space group = Pmm2
Raw formation energy = -660 meV per atom
Final energy = -3.014 eV per atom
Magnetization = 0.00 μB/cell

***

[2]
## LiAlCl4 (PBE)

Data for LiAlCl4 after structural relaxation.

Cell lengths 6.0782, 6.0782, 6.0782 Å; angles 60.00, 60.00, 60.00 degrees
Last column: nearest neighbours and their distance in Å.
Fractional positions:
Cl (0.3748, 0.3748, 0.8756)  6 Cl 3.03-3.04
Cl (0.3748, 0.8756, 0.3748)  6 Cl 3.03-3.04
Cl (0.8756, 0.3748, 0.3748)  6 Cl 3.03-3.04
Cl (0.3748, 0.3748, 0.3748)  6 Cl 3.03-3.04
Li (0.7500, 0.7500, 0.7500)  12 Cl 3.56, 4 Al 3.72
Al (0.0000, 0.0000, 0.0000)  12 Cl 3.56, 4 Li 3.72

Calculated values
Offset from the most stable computed form = 1670.1 meV per atom
Calculated volume = 26.5 A^3/atom
Space group = F-43m
Raw formation energy = 13 meV per atom
Final energy = -2.161 eV per atom
Magnetization = 2.02 μB/cell

***

[3]
## LiAlCl4 (PBE)

Data for LiAlCl4 after structural relaxation.

Cell lengths 6.8523, 6.8523, 9.2149 Å; angles 90.00, 90.00, 90.00 degrees
Last column: nearest neighbours and their distance in Å.
Fractional positions:
Cl (0.7716, 0.7296, 0.0000)  1 Al 2.22, 1 Li 2.43
Cl (0.7716, 0.2704, 0.0000)  1 Al 2.22, 1 Li 2.43
Cl (0.7296, 0.7716, 0.5000)  1 Al 2.22, 1 Li 2.43
Cl (0.2284, 0.7296, 0.0000)  1 Al 2.22, 1 Li 2.43
Cl (0.2704, 0.2284, 0.5000)  1 Al 2.22, 1 Li 2.43
Cl (0.7296, 0.2284, 0.5000)  1 Al 2.22, 1 Li 2.43
Cl (0.2284, 0.2704, 0.0000)  1 Al 2.22, 1 Li 2.43
Cl (0.2704, 0.7716, 0.5000)  1 Al 2.22, 1 Li 2.43
Al (0.0000, 0.5000, 0.0000)  4 Cl 2.22
Al (0.5000, 0.0000, 0.5000)  4 Cl 2.22
Li (0.0000, 0.0000, 0.5000)  4 Cl 2.43
Li (0.0000, 0.0000, 0.0000)  4 Cl 2.43

Calculated values
Offset from the most stable computed form = 243.2 meV per atom
Calculated volume = 36.1 A^3/atom
Space group = P4_2/mmc
Raw formation energy = -1414 meV per atom
Final energy = -3.588 eV per atom
Magnetization = 0.00 μB/cell